[1]
{
  "formula": "LaTe2PdCl",
  "functional": "GGA-PBE",
  "state": "optimized geometry",
  "cell": [[6.158, 0.000, 0.000], [0.000, 5.372, 0.000], [0.000, 0.000, 6.158]],
  "species": ["La", "Pd", "Te", "Cl", "Te"],
  "frac_coords": [[0.000, 0.000, 0.000], [0.000, 0.500, 0.000], [0.500, 0.000, 0.000], [0.500, 0.500, 0.500], [0.000, 0.000, 0.500]],
  "e_form_raw_ev_per_atom": 0.177
}

***

[2]
{
  "formula": "LaTiPd2Cl",
  "functional": "GGA-PBE",
  "state": "optimized geometry",
  "cell": [[4.595, 0.000, 0.000], [0.000, 6.108, 0.000], [0.000, 0.000, 4.595]],
  "species": ["Pd", "La", "Pd", "Ti", "Cl"],
  "frac_coords": [[0.000, 0.000, 0.500], [0.000, 0.500, 0.000], [0.500, 0.000, 0.000], [0.000, 0.000, 0.000], [0.500, 0.500, 0.500]],
  "e_form_raw_ev_per_atom": -0.047
}

***

[3]
{
  "formula": "LaPm3Cl",
  "functional": "GGA-PBE",
  "state": "optimized geometry",
  "cell": [[5.483, 0.000, 0.000], [0.000, 5.483, 0.000], [0.000, 0.000, 5.483]],
  "species": ["Pm", "La", "Pm", "Pm", "Cl"],
  "frac_coords": [[0.500, 0.000, 0.000], [0.500, 0.500, 0.500], [0.000, 0.500, 0.000], [0.000, 0.000, 0.500], [0.000, 0.000, 0.000]],
  "e_form_raw_ev_per_atom": -0.510
}

***

[4]
{
  "formula": "La2PmCl",
  "functional": "GGA-PBE",
  "state": "optimized geometry",
  "cell": [[-1.637, 0.422, 3.362], [-0.794, -3.021, 2.099], [8.619, -0.213, 6.331]],
  "species": ["La", "Cl", "Pm", "La"],
  "frac_coords": [[0.739, 0.739, 0.782], [0.000, 0.000, 0.000], [0.500, 0.500, 0.500], [0.261, 0.261, 0.218]],
  "e_form_raw_ev_per_atom": -0.705
}

***

[5]
{
  "formula": "LaPmCl2",
  "functional": "GGA-PBE",
  "state": "optimized geometry",
  "cell": [[-0.703, 1.781, -3.778], [-2.374, -2.006, -2.878], [-6.116, 2.709, 0.041]],
  "species": ["Cl", "La", "Pm", "Cl"],
  "frac_coords": [[0.246, 0.246, 0.262], [0.000, 0.000, 0.000], [0.500, 0.500, 0.500], [0.754, 0.754, 0.738]],
  "e_form_raw_ev_per_atom": -1.362
}

***

[6]
{
  "formula": "LaPmCl4",
  "functional": "GGA-PBE",
  "state": "optimized geometry",
  "cell": [[5.623, 0.000, 0.000], [0.000, 5.623, 0.000], [-2.811, -2.811, 5.633]],
  "species": ["Cl", "Cl", "Cl", "Pm", "Cl", "La"],
  "frac_coords": [[0.990, 0.490, 0.980], [0.753, 0.753, 0.506], [0.247, 0.247, 0.494], [0.500, 0.500, 0.000], [0.510, 0.010, 0.020], [0.250, 0.750, 0.500]],
  "e_form_raw_ev_per_atom": -2.001
}

***

[7]
{
  "formula": "LaPmCl2",
  "functional": "GGA-PBE",
  "state": "optimized geometry",
  "cell": [[-1.596, 1.811, 2.718], [0.937, -0.693, 3.443], [6.008, 6.541, 1.601]],
  "species": ["Pm", "La", "Cl", "Cl"],
  "frac_coords": [[0.500, 0.500, 0.499], [0.666, 0.666, 0.002], [0.085, 0.085, 0.744], [0.248, 0.248, 0.256]],
  "e_form_raw_ev_per_atom": -1.445
}

***

[8]
{
  "formula": "LaPmCl6",
  "functional": "GGA-PBE",
  "state": "optimized geometry",
  "cell": [[-2.733, 5.767, -2.751], [-6.375, 2.053, 1.858], [-0.520, 6.087, 4.494]],
  "species": ["Cl", "Cl", "Cl", "Pm", "Cl", "La", "Cl", "Cl"],
  "frac_coords": [[0.395, 0.754, 0.753], [0.246, 0.902, 0.246], [0.605, 0.246, 0.247], [0.000, 0.000, 0.000], [0.754, 0.098, 0.754], [0.500, 0.500, 0.500], [0.098, 0.395, 0.753], [0.902, 0.605, 0.247]],
  "e_form_raw_ev_per_atom": -2.296
}

***

[9]
{
  "formula": "LaPmCl6",
  "functional": "GGA-PBE",
  "state": "optimized geometry",
  "cell": [[-5.107, -4.788, -0.593], [0.477, -5.050, -4.944], [-0.838, -8.610, 4.375]],
  "species": ["Cl", "Pm", "Cl", "Cl", "La", "Cl", "Cl", "Cl"],
  "frac_coords": [[0.483, 0.000, 0.224], [0.500, 0.000, 0.500], [0.729, 0.288, 0.273], [0.271, 0.712, 0.727], [0.000, 0.000, 0.000], [0.517, 0.000, 0.776], [0.016, 0.712, 0.273], [0.984, 0.288, 0.727]],
  "e_form_raw_ev_per_atom": -2.246
}

***

[10]
{
  "formula": "LaPmCl3",
  "functional": "GGA-PBE",
  "state": "optimized geometry",
  "cell": [[4.263, 0.000, 2.396], [2.131, 7.351, 1.198], [0.729, 0.000, 8.677]],
  "species": ["Pm", "Cl", "Cl", "La", "La", "Cl", "Pm", "Cl", "Cl", "Cl"],
  "frac_coords": [[0.340, 0.320, 0.500], [0.261, 0.000, 0.739], [0.739, 0.000, 0.261], [0.845, 0.310, 0.000], [0.155, 0.690, 0.000], [0.063, 0.362, 0.256], [0.660, 0.680, 0.500], [0.425, 0.638, 0.256], [0.575, 0.362, 0.744], [0.937, 0.638, 0.744]],
  "e_form_raw_ev_per_atom": -1.718
}

***

[11]
{
  "formula": "LaPmRhCl",
  "functional": "GGA-PBE",
  "state": "optimized geometry",
  "cell": [[-3.209, 1.381, -2.104], [1.766, -3.521, -1.053], [-3.235, -3.575, 6.538]],
  "species": ["Pm", "La", "Cl", "Rh"],
  "frac_coords": [[0.107, 0.951, 0.074], [0.505, 0.150, 0.671], [0.961, 0.379, 0.354], [0.305, 0.550, 0.871]],
  "e_form_raw_ev_per_atom": -1.211
}

***

[12]
{
  "formula": "LaPmRuCl",
  "functional": "GGA-PBE",
  "state": "optimized geometry",
  "cell": [[4.876, 0.017, 0.317], [-2.414, 2.469, -0.238], [-1.771, -0.981, 8.130]],
  "species": ["Pm", "Cl", "La", "Ru"],
  "frac_coords": [[0.051, 0.339, 0.408], [0.904, 0.692, 0.109], [0.267, 0.556, 0.836], [0.655, 0.444, 0.616]],
  "e_form_raw_ev_per_atom": -0.922
}

***

[13]
{
  "formula": "LaPmSiCl",
  "functional": "GGA-PBE",
  "state": "optimized geometry",
  "cell": [[5.179, 0.000, 0.000], [2.590, 4.486, 0.000], [2.590, 1.495, 4.229]],
  "species": ["Si", "Cl", "La", "Pm"],
  "frac_coords": [[0.250, 0.250, 0.250], [0.750, 0.750, 0.750], [0.500, 0.500, 0.500], [0.000, 0.000, 0.000]],
  "e_form_raw_ev_per_atom": -1.014
}

***

[14]
{
  "formula": "LaPmSiCl",
  "functional": "GGA-PBE",
  "state": "optimized geometry",
  "cell": [[-2.063, -2.697, 2.611], [-1.892, -3.497, -1.593], [4.569, -5.672, 1.265]],
  "species": ["Si", "Cl", "Pm", "La"],
  "frac_coords": [[0.942, 0.942, 0.175], [0.446, 0.446, 0.661], [0.202, 0.202, 0.394], [0.686, 0.686, 0.941]],
  "e_form_raw_ev_per_atom": -1.217
}

***

[15]
{
  "formula": "La3PrCl",
  "functional": "GGA-PBE",
  "state": "optimized geometry",
  "cell": [[-5.494, -0.434, 1.018], [1.075, -0.869, 5.431], [-0.262, 5.520, 0.935]],
  "species": ["Cl", "La", "La", "Pr", "La"],
  "frac_coords": [[0.000, 0.000, 0.000], [0.000, 0.000, 0.500], [0.000, 0.500, 0.000], [0.500, 0.500, 0.500], [0.500, 0.000, 0.000]],
  "e_form_raw_ev_per_atom": -0.568
}

***

[16]
{
  "formula": "LaPrCl6",
  "functional": "GGA-PBE",
  "state": "optimized geometry",
  "cell": [[-6.109, -1.422, -3.086], [-1.250, -6.416, -2.480], [-4.946, -4.342, 3.878]],
  "species": ["Cl", "Cl", "Pr", "Cl", "Cl", "Cl", "La", "Cl"],
  "frac_coords": [[0.602, 0.249, 0.249], [0.099, 0.398, 0.751], [0.000, 0.000, 0.000], [0.751, 0.099, 0.752], [0.901, 0.602, 0.249], [0.398, 0.751, 0.751], [0.500, 0.500, 0.500], [0.249, 0.901, 0.248]],
  "e_form_raw_ev_per_atom": -2.291
}

***

[17]
{
  "formula": "LaPrCl6",
  "functional": "GGA-PBE",
  "state": "optimized geometry",
  "cell": [[-2.778, -6.463, 0.728], [-0.737, -4.185, -5.613], [4.516, -8.554, 1.857]],
  "species": ["Cl", "Cl", "Cl", "Cl", "Cl", "La", "Pr", "Cl"],
  "frac_coords": [[0.261, 0.708, 0.738], [0.030, 0.708, 0.262], [0.490, 0.000, 0.218], [0.970, 0.292, 0.738], [0.739, 0.292, 0.262], [0.500, 0.000, 0.500], [0.000, 0.000, 0.000], [0.510, 0.000, 0.782]],
  "e_form_raw_ev_per_atom": -2.238
}

***

[18]
{
  "formula": "LaPr2Cl",
  "functional": "GGA-PBE",
  "state": "optimized geometry",
  "cell": [[3.773, 0.000, 0.000], [1.886, 3.267, 0.000], [1.886, 1.089, 10.305]],
  "species": ["Pr", "La", "Pr", "Cl"],
  "frac_coords": [[0.739, 0.739, 0.784], [0.500, 0.500, 0.500], [0.261, 0.261, 0.216], [0.000, 0.000, 0.000]],
  "e_form_raw_ev_per_atom": -0.706
}

***

[19]
{
  "formula": "LaPrRuCl",
  "functional": "GGA-PBE",
  "state": "optimized geometry",
  "cell": [[-0.700, 3.454, 2.564], [-0.361, -3.486, 0.857], [8.590, -1.209, 0.289]],
  "species": ["Pr", "La", "Ru", "Cl"],
  "frac_coords": [[0.963, 0.332, 0.400], [0.232, 0.439, 0.830], [0.597, 0.381, 0.621], [0.086, 0.879, 0.120]],
  "e_form_raw_ev_per_atom": -0.887
}

***

[20]
{
  "formula": "LaPrSiCl",
  "functional": "GGA-PBE",
  "state": "optimized geometry",
  "cell": [[4.314, 0.000, 0.000], [2.157, 3.736, 0.000], [2.157, 1.245, 7.035]],
  "species": ["Pr", "Si", "Cl", "La"],
  "frac_coords": [[0.436, 0.436, 0.691], [0.695, 0.695, 0.915], [0.194, 0.194, 0.419], [0.952, 0.952, 0.145]],
  "e_form_raw_ev_per_atom": -1.222
}